# 1
# Zn2Cu6Si PBE-GGA optimized geometry
data_Zn2Cu6Si
_cell_length_a 11.4564
_cell_length_b 4.8870
_cell_length_c 4.3985
_cell_angle_alpha 90.00
_cell_angle_beta 103.12
_cell_angle_gamma 90.00
_space_group_name_H-M_alt 'C 1 2/m 1'
_space_group_IT_number 12
loop_
_space_group_symop_operation_xyz
'x,y,z'
'-x,-y,-z'
'-x,y,-z'
'x,-y,z'
'x+1/2,y+1/2,z'
'-x+1/2,-y+1/2,-z'
'-x+1/2,y+1/2,-z'
'x+1/2,-y+1/2,z'
loop_
_atom_site_label
_atom_site_type_symbol
_atom_site_fract_x
_atom_site_fract_y
_atom_site_fract_z
Zn1 Zn 0.0763 0.0000 0.2978
Cu1 Cu 0.1446 0.2471 0.8569
Cu2 Cu 0.1987 0.5000 0.3913
Si1 Si 0.0000 0.5000 0.5000
# ρ = 7.48 g/cm³
# Total energy = -3.5785 eV per atom
# ΔE to the lowest computed polymorph = 95 meV/atom
# E_form (uncorrected) = 0.038 eV per atom
# DOS at the Fermi energy = 0.250 states/eV per atom

# 2
# ZnCuSi2 PBE-GGA optimized geometry
data_ZnCuSi2
_cell_length_a 5.2645
_cell_length_b 7.5146
_cell_length_c 2.8959
_cell_angle_alpha 90.00
_cell_angle_beta 90.00
_cell_angle_gamma 90.00
_space_group_name_H-M_alt 'C m m m'
_space_group_IT_number 65
_space_group_name_Hall '-C 2 2'
loop_
_atom_site_label
_atom_site_type_symbol
_atom_site_fract_x
_atom_site_fract_y
_atom_site_fract_z
Zn1 Zn 0.0000 0.0000 0.0000
Cu1 Cu 0.0000 0.5000 0.0000
Si1 Si 0.2500 0.2500 0.5000
# ρ = 5.37 g/cm³
# Total energy = -3.7708 eV per atom
# E_form (uncorrected) = 0.283 eV per atom
# DOS at the Fermi energy = 0.291 states/eV per atom

# 3
# ZnCuSi2 PBE-GGA optimized geometry
data_ZnCuSi2
_cell_length_a 2.5563
_cell_length_b 4.4367
_cell_length_c 10.5836
_cell_angle_alpha 90.00
_cell_angle_beta 90.00
_cell_angle_gamma 90.00
_space_group_name_H-M_alt 'I m m 2'
_space_group_IT_number 44
loop_
_space_group_symop_operation_xyz
'x,y,z'
'-x,-y,z'
'-x,y,z'
'x,-y,z'
'x+1/2,y+1/2,z+1/2'
'-x+1/2,-y+1/2,z+1/2'
'-x+1/2,y+1/2,z+1/2'
'x+1/2,-y+1/2,z+1/2'
loop_
_atom_site_label
_atom_site_type_symbol
_atom_site_fract_x
_atom_site_fract_y
_atom_site_fract_z
Zn1 Zn 0.0000 0.0000 0.0000
Cu1 Cu 0.0000 0.5000 0.7331
Si1 Si 0.0000 0.0000 0.4382
Si2 Si 0.0000 0.5000 0.1693
# ρ = 5.12 g/cm³
# Total energy = -3.7884 eV per atom
# E_form (uncorrected) = 0.266 eV per atom
# DOS at the Fermi energy = 0.365 states/eV per atom